# SiAsP2 | Alexandria via LeMat-Bulk | PBE | optimized geometry
# Distance to the lowest polymorph of the same formula (eV/atom): 0.416
# Magnetization (μB per formula unit): 0.00
# Uncorrected formation energy (eV/f.u.): 2.1
data_SiAsP2
_symmetry_space_group_name_H-M 'P 4 m m'
_symmetry_Int_Tables_number 99
_symmetry_space_group_name_Hall 'P 4 -2'
_cell_length_a 3.050
_cell_length_b 3.050
_cell_length_c 8.376
_cell_angle_alpha 90.00
_cell_angle_beta 90.00
_cell_angle_gamma 90.00
loop_
_atom_site_label
_atom_site_type_symbol
_atom_site_fract_x
_atom_site_fract_y
_atom_site_fract_z
Si1 Si 0.000 0.000 0.000
As1 As 0.500 0.500 0.178
P1 P 0.000 0.000 0.562
P2 P 0.500 0.500 0.676


# TbPmIrO6 | Alexandria via LeMat-Bulk | PBE | optimized geometry
# Magnetization (μB per formula unit): 2.94
# Uncorrected formation energy (eV/f.u.): -19.6
data_TbPmIrO6
_symmetry_space_group_name_H-M 'P -3 1 c'
_symmetry_Int_Tables_number 163
_symmetry_space_group_name_Hall '-P 3 2c'
_cell_length_a 5.5460
_cell_length_b 5.5460
_cell_length_c 9.8336
_cell_angle_alpha 90.00
_cell_angle_beta 90.00
_cell_angle_gamma 120.00
loop_
_atom_site_label
_atom_site_type_symbol
_atom_site_fract_x
_atom_site_fract_y
_atom_site_fract_z
Tb1 Tb 0.3333 0.6667 0.2500
Pm1 Pm 0.0000 0.0000 0.0000
Ir1 Ir 0.3333 0.6667 0.7500
O1 O 0.0430 0.3739 0.6371


# La2DyTm8 | Alexandria via LeMat-Bulk | PBE | optimized geometry
# Distance to the lowest polymorph of the same formula (eV/atom): 0.147
# Magnetization (μB per formula unit): 0.00
# Formation energy from the elements (eV/atom): 0.18
data_La2DyTm8
_symmetry_space_group_name_H-M 'C 1 2/m 1'
_symmetry_Int_Tables_number 12
_symmetry_space_group_name_Hall '-C 2y'
_cell_length_a 16.510
_cell_length_b 6.551
_cell_length_c 6.646
_cell_angle_alpha 90.00
_cell_angle_beta 100.51
_cell_angle_gamma 90.00
loop_
_atom_site_label
_atom_site_type_symbol
_atom_site_fract_x
_atom_site_fract_y
_atom_site_fract_z
La1 La 0.249 0.000 0.320
Dy1 Dy 0.000 0.000 0.000
Tm1 Tm 0.084 0.259 0.398
Tm2 Tm 0.089 0.500 0.911
Tm3 Tm 0.198 0.000 0.811


# Pr5Ho4Cd2 | Alexandria via LeMat-Bulk | PBE | optimized geometry
# Magnetization (μB per formula unit): 0.00
# Formation energy from the elements (eV/atom): -0.01
data_Pr5Ho4Cd2
_symmetry_space_group_name_H-M 'P 1 2/m 1'
_symmetry_Int_Tables_number 10
_symmetry_space_group_name_Hall '-P 2y'
_cell_length_a 9.098
_cell_length_b 3.641
_cell_length_c 10.794
_cell_angle_alpha 90.00
_cell_angle_beta 93.00
_cell_angle_gamma 90.00
loop_
_atom_site_label
_atom_site_type_symbol
_atom_site_fract_x
_atom_site_fract_y
_atom_site_fract_z
Pr1 Pr 0.000 0.000 0.000
Pr2 Pr 0.051 0.000 0.342
Pr3 Pr 0.353 0.000 0.875
Ho1 Ho 0.277 0.500 0.577
Ho2 Ho 0.307 0.500 0.154
Cd1 Cd 0.428 0.000 0.373


# K2Ga3SnAu12 | Alexandria via LeMat-Bulk | PBE | optimized geometry
# Magnetization (μB per formula unit): 0.00
# Formation energy from the elements (eV/atom): -0.02
data_K2Ga3SnAu12
_symmetry_space_group_name_H-M 'R -3 m'
_symmetry_Int_Tables_number 166
_symmetry_space_group_name_Hall '-R 3 2"'
_cell_length_a 9.0923
_cell_length_b 9.0923
_cell_length_c 20.2372
_cell_angle_alpha 90.00
_cell_angle_beta 90.00
_cell_angle_gamma 120.00
loop_
_atom_site_label
_atom_site_type_symbol
_atom_site_fract_x
_atom_site_fract_y
_atom_site_fract_z
K1 K 0.0000 0.0000 0.0982
Ga1 Ga 0.0000 0.5000 0.0000
Sn1 Sn 0.0000 0.0000 0.5000
Au1 Au 0.0079 0.5039 0.1297
Au2 Au 0.1065 0.5532 0.3903


# ScPt2Rh | Alexandria via LeMat-Bulk | PBE | optimized geometry
# Magnetization (μB per formula unit): 0.00
# Formation energy from the elements (eV/atom): -0.76
data_ScPt2Rh
_symmetry_space_group_name_H-M 'C m m m'
_symmetry_Int_Tables_number 65
_symmetry_space_group_name_Hall '-C 2 2'
_cell_length_a 5.582
_cell_length_b 7.641
_cell_length_c 3.001
_cell_angle_alpha 90.00
_cell_angle_beta 90.00
_cell_angle_gamma 90.00
loop_
_atom_site_label
_atom_site_type_symbol
_atom_site_fract_x
_atom_site_fract_y
_atom_site_fract_z
Sc1 Sc 0.000 0.000 0.000
Pt1 Pt 0.250 0.250 0.500
Rh1 Rh 0.000 0.500 0.000


# Ca2In2Ga | Alexandria via LeMat-Bulk | PBE | optimized geometry
# Distance to the lowest polymorph of the same formula (eV/atom): 0.110
# Magnetization (μB per formula unit): 0.00
# Formation energy from the elements (eV/atom): -0.33
data_Ca2In2Ga
_symmetry_space_group_name_H-M 'P 4/m b m'
_symmetry_Int_Tables_number 127
_symmetry_space_group_name_Hall '-P 4 2ab'
_cell_length_a 7.498
_cell_length_b 7.498
_cell_length_c 4.968
_cell_angle_alpha 90.00
_cell_angle_beta 90.00
_cell_angle_gamma 90.00
loop_
_atom_site_label
_atom_site_type_symbol
_atom_site_fract_x
_atom_site_fract_y
_atom_site_fract_z
Ca1 Ca 0.169 0.331 0.000
In1 In 0.139 0.639 0.500
Ga1 Ga 0.000 0.000 0.500


# LiYRu2 | Alexandria via LeMat-Bulk | PBE | optimized geometry
# Distance to the lowest polymorph of the same formula (eV/atom): 0.045
# Magnetization (μB per formula unit): 0.00
# Formation energy from the elements (eV/atom): 0.13
data_LiYRu2
_symmetry_space_group_name_H-M 'P 1 m 1'
_symmetry_Int_Tables_number 6
_symmetry_space_group_name_Hall 'P -2y'
_cell_length_a 2.975
_cell_length_b 4.246
_cell_length_c 5.453
_cell_angle_alpha 90.00
_cell_angle_beta 104.29
_cell_angle_gamma 90.00
loop_
_atom_site_label
_atom_site_type_symbol
_atom_site_fract_x
_atom_site_fract_y
_atom_site_fract_z
Li1 Li 0.000 0.000 0.000
Y1 Y 0.369 0.500 0.751
Ru1 Ru 0.629 0.000 0.418
Ru2 Ru 0.970 0.500 0.257


no.,raw total energy (eV per atom),theoretical density (g/cm³)
1,-4.706,3.52
2,-7.507,7.51
3,-4.382,8.42
4,-4.016,7.39
5,-3.054,9.52
6,-7.199,13.96
7,-2.829,4.51
8,-6.603,7.41